No. 1
A plane-wave DFT calculation with meta-GGA SCAN was carried out for LiTaCr2 at its PBEsol-relaxed geometry.

```
4
Lattice="2.5562 0.0000 0.0010 0.0000 4.3439 0.0000 -0.6921 0.0000 4.7879" Properties=species:S:1:pos:R:3 pbc="T T T"
Cr 1.3033 0.0000 3.5239
Cr 0.5608 0.0000 1.2650
Li 1.2781 2.1720 0.0005
Ta -0.3461 2.1720 2.3940
```

Values from the calculation:
Energy of formation, eV per formula unit: 2.037
SG: P2/m


No. 2
A plane-wave DFT calculation with meta-GGA SCAN was carried out for LiCr4Tc at its PBEsol-relaxed geometry.

```
6
Lattice="-4.2451 -0.1093 -1.9521 -0.6625 -2.2783 -4.0267 -2.4442 -3.9832 -0.0565" Properties=species:S:1:pos:R:3 pbc="T T T"
Cr -2.4831 -3.9205 -2.7980
Cr -4.5867 -3.9747 -3.7653
Cr -3.3755 -2.0009 -3.7373
Cr -4.2584 -2.8457 -1.7700
Li -1.8379 -1.5927 -1.5088
Tc 0.0000 0.0000 0.0000
```

Values from the calculation:
Energy of formation, eV per formula unit: 1.454
SG: F-43m


No. 3
A plane-wave DFT calculation with meta-GGA SCAN was carried out for LiCrTc3 at its PBEsol-relaxed geometry.

```
5
Lattice="4.3867 0.0000 0.0000 0.0000 4.3867 0.0000 0.0000 0.0000 4.3867" Properties=species:S:1:pos:R:3 pbc="T T T"
Li 2.1934 2.1934 2.1934
Tc 2.1934 0.0000 0.0000
Tc 0.0000 0.0000 2.1934
Tc 0.0000 2.1934 0.0000
Cr 0.0000 0.0000 0.0000
```

Values from the calculation:
Energy of formation, eV per formula unit: 5.912
SG: Pm-3m


No. 4
A plane-wave DFT calculation with meta-GGA SCAN was carried out for LiCrTe2 at its PBEsol-relaxed geometry.

```
4
Lattice="3.9486 0.0000 0.0000 1.9743 3.4196 0.0000 1.9743 1.1399 6.6829" Properties=species:S:1:pos:R:3 pbc="T T T"
Li 0.0000 0.0000 0.0000
Te 1.9743 1.1399 1.8580
Te 5.9228 3.4196 4.8249
Cr 3.9486 2.2797 3.3415
```

Values from the calculation:
SG: R-3m
E_form (uncorrected), meV per atom: -713


No. 5
A plane-wave DFT calculation with meta-GGA SCAN was carried out for LiCr2Te at its PBEsol-relaxed geometry.

```
4
Lattice="-1.4203 -1.4226 -2.7090 -1.0303 -2.5898 1.9003 -4.8640 2.7476 1.1073" Properties=species:S:1:pos:R:3 pbc="T T T"
Li -2.4231 1.3687 0.5516
Cr -0.1595 0.0901 0.0363
Cr -2.3161 -1.3901 -0.1560
Te -4.8480 0.0401 0.4203
```

Values from the calculation:
SG: P4mm
E_form (uncorrected), meV per atom: -33


No. 6
A plane-wave DFT calculation with meta-GGA SCAN was carried out for Li4CrTe at its PBEsol-relaxed geometry.

```
6
Lattice="5.2960 0.0000 0.0000 2.6480 4.5865 0.0000 2.6480 1.5288 4.3242" Properties=species:S:1:pos:R:3 pbc="T T T"
Cr 0.0000 0.0000 0.0000
Li 3.9641 2.2887 1.6183
Li 5.2960 4.5956 1.6183
Li 5.2960 3.0577 3.7934
Li 6.6280 2.2887 1.6183
Te 7.9440 4.5865 3.2431
```

Values from the calculation:
SG: F-43m
E_form (uncorrected), meV per atom: -57


Repeat the sixth record exactly.
A plane-wave DFT calculation with meta-GGA SCAN was carried out for Li4CrTe at its PBEsol-relaxed geometry.

```
6
Lattice="5.2960 0.0000 0.0000 2.6480 4.5865 0.0000 2.6480 1.5288 4.3242" Properties=species:S:1:pos:R:3 pbc="T T T"
Cr 0.0000 0.0000 0.0000
Li 3.9641 2.2887 1.6183
Li 5.2960 4.5956 1.6183
Li 5.2960 3.0577 3.7934
Li 6.6280 2.2887 1.6183
Te 7.9440 4.5865 3.2431
```

Values from the calculation:
SG: F-43m
E_form (uncorrected), meV per atom: -57


Please write out number 4 again, unchanged.
A plane-wave DFT calculation with meta-GGA SCAN was carried out for LiCrTe2 at its PBEsol-relaxed geometry.

```
4
Lattice="3.9486 0.0000 0.0000 1.9743 3.4196 0.0000 1.9743 1.1399 6.6829" Properties=species:S:1:pos:R:3 pbc="T T T"
Li 0.0000 0.0000 0.0000
Te 1.9743 1.1399 1.8580
Te 5.9228 3.4196 4.8249
Cr 3.9486 2.2797 3.3415
```

Values from the calculation:
SG: R-3m
E_form (uncorrected), meV per atom: -713